[1]
MnAlZn2Rh: optimized geometry, PBE.

a = 4.4808 Å, b = 4.4808 Å, c = 4.4964 Å
α = 90.00°, β = 90.00°, γ = 90.00°
Space group P4/mmm (No. 123)
Asymmetric unit:
1 Mn 0.0000 0.0000 0.0000 [1 per cell]
2 Al 0.0000 0.0000 0.5000 [1 per cell]
3 Zn 0.0000 0.5000 0.0000 [2 per cell]
4 Rh 0.5000 0.5000 0.5000 [1 per cell]

The uncorrected energy is -18.8 eV/cell. The calculation puts the volume at 90.3 Å³/f.u. The calculation puts the density of states at the Fermi level at 0.610 states/eV/atom. The total magnetization is 0.488 μB per atom.



[2]
ZrMnAlRh: optimized geometry, PBE.

a = 6.2430 Å, b = 6.2430 Å, c = 6.2430 Å
α = 90.00°, β = 90.00°, γ = 90.00°
Space group F-43m (No. 216)
Asymmetric unit:
1 Zr 0.0000 0.0000 0.0000 [4 per cell]
2 Mn 0.2500 0.2500 0.7500 [4 per cell]
3 Al 0.0000 0.0000 0.5000 [4 per cell]
4 Rh 0.2500 0.2500 0.2500 [4 per cell]

The uncorrected energy is -123.5 eV/cell. The calculation puts the volume at 60.8 Å³/f.u. The calculation puts the density of states at the Fermi level at 1.491 states/eV/atom. The total magnetization is 0.239 μB per atom.



[3]
MnAlRu: optimized geometry, PBE.

a = 3.0069 Å, b = 4.5251 Å, c = 12.2793 Å
α = 90.00°, β = 90.00°, γ = 90.00°
Space group Fmm2 (No. 42)
Asymmetric unit:
1 Mn 0.0000 0.0000 0.0000 [4 per cell]
2 Al 0.0000 0.0000 0.3312 [4 per cell]
3 Ru 0.0000 0.0000 0.6652 [4 per cell]

The uncorrected energy is -89.1 eV/cell. The calculation puts the volume at 41.8 Å³/f.u. The calculation puts the density of states at the Fermi level at 1.043 states/eV/atom. The total magnetization is 1.013 μB per atom.



[4]
MnAl2Ru: optimized geometry, PBE.

a = 2.9732 Å, b = 4.5662 Å, c = 8.1038 Å
α = 90.00°, β = 90.00°, γ = 90.00°
Space group Cmmm (No. 65)
Asymmetric unit:
1 Mn 0.0000 0.0000 0.0000 [2 per cell]
2 Al 0.0000 0.5000 0.2490 [4 per cell]
3 Ru 0.0000 0.0000 0.5000 [2 per cell]

The uncorrected energy is -53.4 eV/cell. The calculation puts the volume at 55.0 Å³/f.u. The calculation puts the density of states at the Fermi level at 0.731 states/eV/atom. The total magnetization is 0.474 μB per atom.



[5]
Mn4AlRu: optimized geometry, PBE.

a = 6.5996 Å, b = 6.5996 Å, c = 6.5996 Å
α = 90.00°, β = 90.00°, γ = 90.00°
Space group F-43m (No. 216)
Asymmetric unit:
1 Mn 0.1229 0.1229 0.3771 [16 per cell]
2 Al 0.2500 0.2500 0.7500 [4 per cell]
3 Ru 0.0000 0.0000 0.0000 [4 per cell]

The uncorrected energy is -199.1 eV/cell. The calculation puts the volume at 71.9 Å³/f.u. The calculation puts the density of states at the Fermi level at 1.078 states/eV/atom. The total magnetization is 0.000 μB per atom.



[6]
MnAl2Ru2: optimized geometry, PBE.

a = 6.8297 Å, b = 6.8297 Å, c = 2.9420 Å
α = 90.00°, β = 90.00°, γ = 90.00°
Space group P4/mbm (No. 127)
Asymmetric unit:
1 Mn 0.0000 0.0000 0.0000 [2 per cell]
2 Al 0.1353 0.3647 0.0000 [4 per cell]
3 Ru 0.1649 0.6649 0.5000 [4 per cell]

The uncorrected energy is -71.2 eV/cell. The calculation puts the volume at 68.6 Å³/f.u. The calculation puts the density of states at the Fermi level at 1.249 states/eV/atom. The total magnetization is 0.000 μB per atom.



[7]
MnAl4Ru5: optimized geometry, PBE.

a = 3.0010 Å, b = 3.0010 Å, c = 15.0076 Å
α = 90.00°, β = 90.00°, γ = 90.00°
Space group P4/mmm (No. 123)
Asymmetric unit:
1 Mn 0.0000 0.0000 0.0000 [1 per cell]
2 Al 0.0000 0.0000 0.2009 [2 per cell]
3 Al 0.0000 0.0000 0.3996 [2 per cell]
4 Ru 0.5000 0.5000 0.0973 [2 per cell]
5 Ru 0.5000 0.5000 0.2987 [2 per cell]
6 Ru 0.5000 0.5000 0.5000 [1 per cell]

The uncorrected energy is -75.9 eV/cell. The calculation puts the volume at 135.2 Å³/f.u. The calculation puts the density of states at the Fermi level at 0.887 states/eV/atom. The total magnetization is 0.216 μB per atom.



[8]
MnAl2Ru: optimized geometry, PBE.

a = 2.7832 Å, b = 2.7832 Å, c = 7.2332 Å
α = 90.00°, β = 90.00°, γ = 90.00°
Space group P4mm (No. 99)
Asymmetric unit:
1 Mn 0.0000 0.0000 0.0000 [1 per cell]
2 Al 0.0000 0.0000 0.4579 [1 per cell]
3 Al 0.5000 0.5000 0.7705 [1 per cell]
4 Ru 0.5000 0.5000 0.2151 [1 per cell]

The uncorrected energy is -26.7 eV/cell. The calculation puts the volume at 56.0 Å³/f.u. The calculation puts the density of states at the Fermi level at 0.500 states/eV/atom. The total magnetization is 0.248 μB per atom.



[9]
MnAlRu2: optimized geometry, PBE.

a = 2.7635 Å, b = 3.8372 Å, c = 5.1765 Å
α = 90.00°, β = 90.25°, γ = 90.00°
Space group Pm (No. 6)
Asymmetric unit:
1 Mn 0.0000 0.0000 0.0000 [1 per cell]
2 Al 0.5001 0.5000 0.7437 [1 per cell]
3 Ru 0.9998 0.0000 0.5036 [1 per cell]
4 Ru 0.4987 0.5000 0.2416 [1 per cell]

The uncorrected energy is -32.2 eV/cell. The calculation puts the volume at 54.9 Å³/f.u. The calculation puts the density of states at the Fermi level at 0.769 states/eV/atom. The total magnetization is 0.666 μB per atom.



[10]
MnAlRu2: optimized geometry, PBE.

a = 2.9659 Å, b = 4.5983 Å, c = 8.2081 Å
α = 90.00°, β = 90.00°, γ = 90.00°
Space group Cmmm (No. 65)
Asymmetric unit:
1 Mn 0.0000 0.0000 0.0000 [2 per cell]
2 Al 0.0000 0.0000 0.5000 [2 per cell]
3 Ru 0.0000 0.5000 0.2511 [4 per cell]

The uncorrected energy is -63.2 eV/cell. The calculation puts the volume at 56.0 Å³/f.u. The calculation puts the density of states at the Fermi level at 0.933 states/eV/atom. The total magnetization is 0.870 μB per atom.



[11]
MnAl2Ru: optimized geometry, PBE.

a = 3.0066 Å, b = 3.0066 Å, c = 5.9844 Å
α = 90.00°, β = 90.00°, γ = 90.00°
Space group P4/mmm (No. 123)
Asymmetric unit:
1 Mn 0.0000 0.0000 0.0000 [1 per cell]
2 Al 0.5000 0.5000 0.2622 [2 per cell]
3 Ru 0.0000 0.0000 0.5000 [1 per cell]

The uncorrected energy is -27.8 eV/cell. The calculation puts the volume at 54.1 Å³/f.u. The calculation puts the density of states at the Fermi level at 0.526 states/eV/atom. The total magnetization is 0.648 μB per atom.



[12]
Mn3AlRu4: optimized geometry, PBE.

a = 3.0036 Å, b = 4.2326 Å, c = 8.4586 Å
α = 90.00°, β = 90.00°, γ = 90.00°
Space group Pmmm (No. 47)
Asymmetric unit:
1 Mn 0.0000 0.0000 0.0000 [1 per cell]
2 Mn 0.0000 0.5000 0.2519 [2 per cell]
3 Al 0.0000 0.0000 0.5000 [1 per cell]
4 Ru 0.5000 0.0000 0.2451 [2 per cell]
5 Ru 0.5000 0.5000 0.0000 [1 per cell]
6 Ru 0.5000 0.5000 0.5000 [1 per cell]

The uncorrected energy is -69.7 eV/cell. The calculation puts the volume at 107.5 Å³/f.u. The calculation puts the density of states at the Fermi level at 0.692 states/eV/atom. The total magnetization is 1.061 μB per atom.